# LiNbPb (PBE, relaxed)
data_LiNbPb
_cell_length_a 6.6261
_cell_length_b 6.6261
_cell_length_c 6.6261
_cell_angle_alpha 90.00
_cell_angle_beta 90.00
_cell_angle_gamma 90.00
_space_group_name_H-M_alt 'F -4 3 m'
_space_group_IT_number 216
_space_group_name_Hall 'F -4 2 3'
loop_
_atom_site_label
_atom_site_type_symbol
_atom_site_fract_x
_atom_site_fract_y
_atom_site_fract_z
Li1 Li 0.0000 0.0000 0.0000
Nb1 Nb 0.2500 0.2500 0.2500
Pb1 Pb 0.0000 0.0000 0.5000
# Density: 7.01 g/cm3
# ΔE to the lowest computed polymorph: 0.59 eV/f.u.

---

# Li6NbPb (PBE, relaxed)
data_Li6NbPb
_cell_length_a 5.2164
_cell_length_b 5.2174
_cell_length_c 5.2196
_cell_angle_alpha 84.38
_cell_angle_beta 84.48
_cell_angle_gamma 84.28
_space_group_name_H-M_alt 'P -1'
_space_group_IT_number 2
loop_
_space_group_symop_operation_xyz
'x,y,z'
'-x,-y,-z'
loop_
_atom_site_label
_atom_site_type_symbol
_atom_site_fract_x
_atom_site_fract_y
_atom_site_fract_z
Li1 Li 0.0114 0.4812 0.2558
Li2 Li 0.2557 0.0120 0.4813
Li3 Li 0.4805 0.2559 0.0117
Nb1 Nb 0.0000 0.0000 0.0000
Pb1 Pb 0.5000 0.5000 0.5000
# Density: 4.05 g/cm3
# Total energy: -23.0 eV/cell

---

# Li2NbPb (PBE, relaxed)
data_Li2NbPb
_cell_length_a 6.7301
_cell_length_b 6.7301
_cell_length_c 6.7301
_cell_angle_alpha 90.00
_cell_angle_beta 90.00
_cell_angle_gamma 90.00
_space_group_name_H-M_alt 'F -4 3 m'
_space_group_IT_number 216
_space_group_name_Hall 'F -4 2 3'
loop_
_atom_site_label
_atom_site_type_symbol
_atom_site_fract_x
_atom_site_fract_y
_atom_site_fract_z
Li1 Li 0.0000 0.0000 0.0000
Li2 Li 0.2500 0.2500 0.2500
Nb1 Nb 0.2500 0.2500 0.7500
Pb1 Pb 0.0000 0.0000 0.5000
# Density: 6.84 g/cm3
# Total energy: -66.1 eV/cell

---

# LiNbPb (PBE, relaxed)
data_LiNbPb
_cell_length_a 6.5931
_cell_length_b 6.5931
_cell_length_c 6.5931
_cell_angle_alpha 90.00
_cell_angle_beta 90.00
_cell_angle_gamma 90.00
_space_group_name_H-M_alt 'F -4 3 m'
_space_group_IT_number 216
_space_group_name_Hall 'F -4 2 3'
loop_
_atom_site_label
_atom_site_type_symbol
_atom_site_fract_x
_atom_site_fract_y
_atom_site_fract_z
Li1 Li 0.0000 0.0000 0.0000
Nb1 Nb 0.0000 0.0000 0.5000
Pb1 Pb 0.2500 0.2500 0.2500
# Density: 7.12 g/cm3
# ΔE to the lowest computed polymorph: 0.00 eV/f.u.

---

# LiNb3Pb5 (PBE, relaxed)
data_LiNb3Pb5
_cell_length_a 5.7431
_cell_length_b 5.7431
_cell_length_c 9.0450
_cell_angle_alpha 90.00
_cell_angle_beta 90.00
_cell_angle_gamma 120.00
_space_group_name_H-M_alt 'P 6/m m m'
_space_group_IT_number 191
_space_group_name_Hall '-P 6 2'
loop_
_atom_site_label
_atom_site_type_symbol
_atom_site_fract_x
_atom_site_fract_y
_atom_site_fract_z
Li1 Li 0.0000 0.0000 0.0000
Nb1 Nb 0.0000 0.5000 0.5000
Pb1 Pb 0.0000 0.0000 0.5000
Pb2 Pb 0.3333 0.6667 0.2076
# Density: 8.49 g/cm3
# Total energy: -48.6 eV/cell

---

# LiNbPd2 (PBE, relaxed)
data_LiNbPd2
_cell_length_a 6.2431
_cell_length_b 6.2431
_cell_length_c 6.2431
_cell_angle_alpha 90.00
_cell_angle_beta 90.00
_cell_angle_gamma 90.00
_space_group_name_H-M_alt 'F -4 3 m'
_space_group_IT_number 216
_space_group_name_Hall 'F -4 2 3'
loop_
_atom_site_label
_atom_site_type_symbol
_atom_site_fract_x
_atom_site_fract_y
_atom_site_fract_z
Li1 Li 0.0000 0.0000 0.0000
Nb1 Nb 0.2500 0.2500 0.2500
Pd1 Pd 0.0000 0.0000 0.5000
Pd2 Pd 0.2500 0.2500 0.7500
# Density: 8.54 g/cm3
# Total energy: -90.4 eV/cell

---

# Li2NbPd (PBE, relaxed)
data_Li2NbPd
_cell_length_a 6.1941
_cell_length_b 6.1941
_cell_length_c 6.1941
_cell_angle_alpha 90.00
_cell_angle_beta 90.00
_cell_angle_gamma 90.00
_space_group_name_H-M_alt 'F -4 3 m'
_space_group_IT_number 216
_space_group_name_Hall 'F -4 2 3'
loop_
_atom_site_label
_atom_site_type_symbol
_atom_site_fract_x
_atom_site_fract_y
_atom_site_fract_z
Li1 Li 0.0000 0.0000 0.0000
Li2 Li 0.2500 0.2500 0.2500
Nb1 Nb 0.0000 0.0000 0.5000
Pd1 Pd 0.2500 0.2500 0.7500
# Density: 5.96 g/cm3
# Total energy: -75.9 eV/cell

---

# LiNb2Pd (PBE, relaxed)
data_LiNb2Pd
_cell_length_a 6.3823
_cell_length_b 6.3823
_cell_length_c 6.3823
_cell_angle_alpha 90.00
_cell_angle_beta 90.00
_cell_angle_gamma 90.00
_space_group_name_H-M_alt 'F -4 3 m'
_space_group_IT_number 216
_space_group_name_Hall 'F -4 2 3'
loop_
_atom_site_label
_atom_site_type_symbol
_atom_site_fract_x
_atom_site_fract_y
_atom_site_fract_z
Li1 Li 0.0000 0.0000 0.0000
Nb1 Nb 0.0000 0.0000 0.5000
Nb2 Nb 0.2500 0.2500 0.7500
Pd1 Pd 0.2500 0.2500 0.2500
# Density: 7.64 g/cm3
# Total energy: -105.6 eV/cell

---

# LiNbTe3Pd (PBE, relaxed)
data_LiNbTe3Pd
_cell_length_a 8.0497
_cell_length_b 3.7494
_cell_length_c 9.9820
_cell_angle_alpha 90.00
_cell_angle_beta 106.92
_cell_angle_gamma 90.00
_space_group_name_H-M_alt 'P 1 21/m 1'
_space_group_IT_number 11
loop_
_space_group_symop_operation_xyz
'x,y,z'
'-x,-y,-z'
'-x,y+1/2,-z'
'x,-y+1/2,z'
loop_
_atom_site_label
_atom_site_type_symbol
_atom_site_fract_x
_atom_site_fract_y
_atom_site_fract_z
Li1 Li 0.2478 0.2500 0.1988
Nb1 Nb 0.2055 0.7500 0.6849
Te1 Te 0.0813 0.7500 0.3743
Te2 Te 0.2163 0.7500 0.9637
Te3 Te 0.4358 0.2500 0.6317
Pd1 Pd 0.4227 0.2500 0.8914
# Density: 6.79 g/cm3
# Total energy: -59.6 eV/cell

---

# LiPrNb (PBE, relaxed)
data_LiPrNb
_cell_length_a 6.8391
_cell_length_b 6.8391
_cell_length_c 6.8391
_cell_angle_alpha 90.00
_cell_angle_beta 90.00
_cell_angle_gamma 90.00
_space_group_name_H-M_alt 'F -4 3 m'
_space_group_IT_number 216
_space_group_name_Hall 'F -4 2 3'
loop_
_atom_site_label
_atom_site_type_symbol
_atom_site_fract_x
_atom_site_fract_y
_atom_site_fract_z
Li1 Li 0.0000 0.0000 0.0000
Pr1 Pr 0.2500 0.2500 0.2500
Nb1 Nb 0.0000 0.0000 0.5000
# Density: 5.00 g/cm3
# ΔE to the lowest computed polymorph: 0.61 eV/f.u.

---

# LiPrNb (PBE, relaxed)
data_LiPrNb
_cell_length_a 6.8434
_cell_length_b 6.8434
_cell_length_c 6.8434
_cell_angle_alpha 90.00
_cell_angle_beta 90.00
_cell_angle_gamma 90.00
_space_group_name_H-M_alt 'F -4 3 m'
_space_group_IT_number 216
_space_group_name_Hall 'F -4 2 3'
loop_
_atom_site_label
_atom_site_type_symbol
_atom_site_fract_x
_atom_site_fract_y
_atom_site_fract_z
Li1 Li 0.0000 0.0000 0.0000
Pr1 Pr 0.0000 0.0000 0.5000
Nb1 Nb 0.2500 0.2500 0.2500
# Density: 4.99 g/cm3
# ΔE to the lowest computed polymorph: 0.00 eV/f.u.

---

# Li2Nb2Pt3 (PBE, relaxed)
data_Li2Nb2Pt3
_cell_length_a 4.3505
_cell_length_b 4.3505
_cell_length_c 21.2694
_cell_angle_alpha 90.00
_cell_angle_beta 90.00
_cell_angle_gamma 120.00
_space_group_name_H-M_alt 'R 3 m'
_space_group_IT_number 160
_space_group_name_Hall 'R 3 -2"'
loop_
_atom_site_label
_atom_site_type_symbol
_atom_site_fract_x
_atom_site_fract_y
_atom_site_fract_z
Li1 Li 0.0000 0.0000 0.0000
Li2 Li 0.0000 0.0000 0.4915
Nb1 Nb 0.0000 0.0000 0.2399
Nb2 Nb 0.0000 0.0000 0.7486
Pt1 Pt 0.0000 0.0000 0.3689
Pt2 Pt 0.0000 0.0000 0.6202
Pt3 Pt 0.0000 0.0000 0.8700
# Density: 11.22 g/cm3
# Total energy: -135.2 eV/cell

---

# LiNbPt2 (PBE, relaxed)
data_LiNbPt2
_cell_length_a 6.2659
_cell_length_b 6.2659
_cell_length_c 6.2659
_cell_angle_alpha 90.00
_cell_angle_beta 90.00
_cell_angle_gamma 90.00
_space_group_name_H-M_alt 'F -4 3 m'
_space_group_IT_number 216
_space_group_name_Hall 'F -4 2 3'
loop_
_atom_site_label
_atom_site_type_symbol
_atom_site_fract_x
_atom_site_fract_y
_atom_site_fract_z
Li1 Li 0.0000 0.0000 0.0000
Nb1 Nb 0.2500 0.2500 0.2500
Pt1 Pt 0.0000 0.0000 0.5000
Pt2 Pt 0.2500 0.2500 0.7500
# Density: 13.23 g/cm3
# Total energy: -101.4 eV/cell

---

Number 1: total magnetization 1.264 μB per formula unit. Number 2: total magnetization 3.182 μB per formula unit. Number 3: total magnetization 1.983 μB per formula unit. Number 4: total magnetization 1.942 μB per formula unit. Number 5: total magnetization 0.002 μB per formula unit. Number 6: total magnetization 1.182 μB per formula unit. Number 7: total magnetization 0.000 μB per formula unit. Number 8: total magnetization 2.100 μB per formula unit. Number 9: total magnetization 0.002 μB per formula unit. Number 10: total magnetization 1.799 μB per formula unit. Number 11: total magnetization 1.923 μB per formula unit. Number 12: total magnetization 0.016 μB per formula unit. Number 13: total magnetization 0.869 μB per formula unit.